(1)
Material: LaTmScIn
Method: DFT, PBE-GGA
State: optimized geometry

## Properties
The value obtained for the total DFT energy (no corrections) is -4.7771 eV/atom.

Lattice parameters (Å, degrees): 7.673 7.673 7.673 90.00 90.00 90.00
Space group F-43m (No. 216)
Unique sites:
La  0.000  0.000  0.000 x4
Tm  0.000  0.000  0.500 x4
Sc  0.250  0.250  0.750 x4
In  0.250  0.250  0.250 x4

(2)
Material: TbPr5Dy3
Method: DFT, PBE-GGA
State: optimized geometry

## Properties
The relative energy among the computed polymorphs is 0 meV/atom.

Lattice parameters (Å, degrees): 20.319 6.336 11.770 90.00 122.69 90.00
Space group C2/c (No. 15)
Unique sites:
Tb  0.000  0.104  0.250 x4
Pr  0.000  0.408  0.750 x4
Pr  0.139  0.325  0.159 x8
Pr  0.180  0.180  0.832 x8
Dy  0.000  0.000  0.000 x4
Dy  0.176  0.224  0.526 x8

(3)
Material: Ba2TcBiO6
Method: DFT, PBE-GGA
State: optimized geometry

## Properties
The calculation puts the energy relative to the elements, uncorrected at -1936 meV/atom.

Lattice parameters (Å, degrees): 8.609 8.609 8.609 90.00 90.00 90.00
Space group Fm-3m (No. 225)
Unique sites:
Ba  0.250  0.250  0.250 x8
Tc  0.000  0.000  0.000 x4
Bi  0.000  0.000  0.500 x4
O  0.000  0.000  0.231 x24

(4)
Material: LiMnSb2I
Method: DFT, PBE-GGA
State: optimized geometry

## Properties
The relative energy among the computed polymorphs is 0 meV/atom. The calculation puts the energy relative to the elements, uncorrected at 186 meV/atom.

Lattice parameters (Å, degrees): 4.834 4.834 6.255 90.00 90.00 90.00
Space group P4/mmm (No. 123)
Unique sites:
Li  0.000  0.000  0.000 x1
Mn  0.500  0.500  0.500 x1
Sb  0.000  0.500  0.500 x2
I  0.500  0.500  0.000 x1

(5)
Material: Er2TcRu
Method: DFT, PBE-GGA
State: optimized geometry

## Properties
The value obtained for the total DFT energy (no corrections) is -7.3032 eV/atom.

Lattice parameters (Å, degrees): 3.379 3.379 6.837 90.00 90.00 90.00
Space group P4/mmm (No. 123)
Unique sites:
Er  0.000  0.000  0.245 x2
Tc  0.500  0.500  0.500 x1
Ru  0.500  0.500  0.000 x1

(6)
Material: Li4Pa3AsN8
Method: DFT, PBE-GGA
State: optimized geometry

## Properties
The calculation puts the energy relative to the elements, uncorrected at -789 meV/atom.

Lattice parameters (Å, degrees): 11.413 6.716 6.326 90.00 118.35 90.00
Space group C2/m (No. 12)
Unique sites:
Li  0.000  0.000  0.000 x2
Li  0.000  0.500  0.000 x2
Li  0.250  0.250  0.500 x4
Pa  0.000  0.000  0.500 x2
Pa  0.250  0.250  0.000 x4
As  0.000  0.500  0.500 x2
N  0.022  0.292  0.731 x8
N  0.208  0.000  0.180 x4
N  0.218  0.000  0.726 x4

(7)
Material: PIr2
Method: DFT, PBE-GGA
State: optimized geometry

## Properties
The value obtained for the total DFT energy (no corrections) is -7.7251 eV/atom.

Lattice parameters (Å, degrees): 3.959 3.959 2.860 90.00 90.00 90.00
Space group P4/mmm (No. 123)
Unique sites:
P  0.000  0.000  0.000 x1
Ir  0.000  0.500  0.500 x2

(8)
Material: SnSbP
Method: DFT, PBE-GGA
State: optimized geometry

## Properties
The relative energy among the computed polymorphs is 36 meV/atom. The calculation puts the energy relative to the elements, uncorrected at 93 meV/atom.

Lattice parameters (Å, degrees): 14.161 4.249 6.338 90.00 111.44 90.00
Space group Cm (No. 8)
Unique sites:
Sn  0.000  0.000  0.000 x2
Sn  0.157  0.500  0.775 x2
Sb  0.205  0.000  0.510 x2
Sb  0.365  0.500  0.268 x2
P  0.395  0.000  0.765 x2
P  0.460  0.000  0.497 x2

(9)
Material: ZrCdSb
Method: DFT, PBE-GGA
State: optimized geometry

## Properties
The relative energy among the computed polymorphs is 169 meV/atom. The calculation puts the energy relative to the elements, uncorrected at -131 meV/atom.

Lattice parameters (Å, degrees): 4.020 4.917 15.054 90.00 90.00 90.00
Space group Fmm2 (No. 42)
Unique sites:
Zr  0.000  0.000  0.000 x4
Cd  0.000  0.000  0.651 x4
Sb  0.000  0.000  0.353 x4

(10)
Material: CeTm2SiN4
Method: DFT, PBE-GGA
State: optimized geometry

## Properties
The calculation puts the energy relative to the elements, uncorrected at -1408 meV/atom.

Lattice parameters (Å, degrees): 3.349 11.412 11.380 90.00 90.00 90.00
Space group Cmcm (No. 63)
Unique sites:
Ce  0.000  0.088  0.250 x4
Tm  0.000  0.369  0.042 x8
Si  0.000  0.175  0.750 x4
N  0.000  0.000  0.000 x4
N  0.000  0.265  0.628 x8
N  0.000  0.406  0.250 x4

(11)
Material: LaPrHg5
Method: DFT, PBE-GGA
State: optimized geometry

## Properties
The value obtained for the total DFT energy (no corrections) is -1.9250 eV/atom.

Lattice parameters (Å, degrees): 4.842 4.842 8.614 90.00 90.00 90.00
Space group P4/mmm (No. 123)
Unique sites:
La  0.000  0.000  0.000 x1
Pr  0.500  0.500  0.500 x1
Hg  0.000  0.000  0.500 x1
Hg  0.000  0.500  0.245 x4

(12)
Material: La3PrO6
Method: DFT, PBE-GGA
State: optimized geometry

## Properties
The relative energy among the computed polymorphs is 70 meV/atom. The calculation puts the energy relative to the elements, uncorrected at -3327 meV/atom.

Lattice parameters (Å, degrees): 6.107 6.310 10.871 90.00 123.92 90.00
Space group P2_1/c (No. 14)
Unique sites:
La  0.000  0.000  0.000 x2
La  0.230  0.041  0.741 x4
Pr  0.500  0.000  0.500 x2
O  0.107  0.177  0.433 x4
O  0.224  0.688  0.410 x4
O  0.405  0.087  0.254 x4

| no. | total magnetization (μB/atom) |
| --- | --- |
| 1 | 0.269 |
| 2 | 0.000 |
| 3 | 0.200 |
| 4 | 0.000 |
| 5 | 0.207 |
| 6 | 0.000 |
| 7 | 0.000 |
| 8 | 0.000 |
| 9 | 0.000 |
| 10 | 0.128 |
| 11 | 0.000 |
| 12 | 0.000 |